No. 1
Entry from the Alexandria database: a relaxed structure of AcLa2Tb3Pm6 (GGA-PBE).

Calculated values
The formation energy is 0.0272 eV/atom.

a b c (Å): 6.372 11.044 12.176
angles (deg): 90.00 100.11 90.00
Space group C2/m (No. 12)
One atom of each set of equivalent atoms:
1 Ac 0.000 0.000 0.000 (multiplicity 2)
2 La 0.000 0.333 0.000 (multiplicity 4)
3 Tb 0.000 0.167 0.500 (multiplicity 4)
4 Tb 0.000 0.500 0.500 (multiplicity 2)
5 Pm 0.246 0.333 0.743 (multiplicity 8)
6 Pm 0.248 0.000 0.743 (multiplicity 4)


No. 2
Entry from the Alexandria database: a relaxed structure of Ta2Ir2Ru (GGA-PBE).

Calculated values
The formation energy is -0.2676 eV/atom.

a b c (Å): 7.434 7.434 3.001
angles (deg): 90.00 90.00 90.00
Space group P4/mbm (No. 127)
One atom of each set of equivalent atoms:
1 Ta 0.169 0.331 0.000 (multiplicity 4)
2 Ir 0.131 0.631 0.500 (multiplicity 4)
3 Ru 0.000 0.000 0.500 (multiplicity 2)


No. 3
Entry from the Alexandria database: a relaxed structure of SiHgAsSe2 (GGA-PBE).

Calculated values
The value obtained for the energy above the most stable polymorph in this dataset is 0 meV per atom.

a b c (Å): 4.841 4.841 4.993
angles (deg): 90.00 90.00 90.00
Space group P4/mmm (No. 123)
One atom of each set of equivalent atoms:
1 Si 0.000 0.000 0.000 (multiplicity 1)
2 Hg 0.500 0.500 0.500 (multiplicity 1)
3 As 0.000 0.000 0.500 (multiplicity 1)
4 Se 0.000 0.500 0.000 (multiplicity 2)


Sequential D(E_F) output: 39.06, 11.56, 4.14 states/eV per cell
Sequential DFT total energy output: -4.6693, -10.4083, -3.0706 eV per atom
Sequential M_tot output: 0.00, 0.00, 0.00 μB/atom